A plane-wave DFT calculation with PBE-GGA was carried out for an optimized crystal structure of La2Nd4Dy3.

a = 3.6513 Å, b = 3.6513 Å, c = 27.2531 Å
α = 90.00°, β = 90.00°, γ = 120.00°
Sites, in units of the cell vectors:
La 0.0000 0.0000 0.0000
La 0.0000 0.0000 0.2152
Nd 0.0000 0.0000 0.3480
Nd 0.0000 0.0000 0.5596
Nd 0.3333 0.6667 0.6715
Nd 0.3333 0.6667 0.8845
Dy 0.0000 0.0000 0.7785
Dy 0.3333 0.6667 0.1091
Dy 0.3333 0.6667 0.4519

Values from the calculation:
For the magnetic moment, the calculation gives 0.0 μB/cell. As for the space-group type: No. 156. The value obtained for the energy of formation from the pure elements is 0.055 eV per atom.

---

A plane-wave DFT calculation with PBE-GGA was carried out for an optimized crystal structure of La2Nd3Dy.

a = 6.8203 Å, b = 18.2120 Å, c = 3.4681 Å
α = 90.00°, β = 90.00°, γ = 90.00°
Sites, in units of the cell vectors:
La 0.2344 0.1824 0.0000
La 0.2656 0.6824 0.5000
La 0.7344 0.3176 0.5000
La 0.7656 0.8176 0.0000
Nd 0.0000 0.5000 0.0000
Nd 0.2288 0.3523 0.5000
Nd 0.2712 0.8523 0.0000
Nd 0.5000 0.0000 0.5000
Nd 0.7288 0.1477 0.0000
Nd 0.7712 0.6477 0.5000
Dy 0.0000 0.0000 0.0000
Dy 0.5000 0.5000 0.5000

Values from the calculation:
For the magnetic moment, the calculation gives 0.0 μB/cell. As for the space-group type: No. 58. The value obtained for the energy of formation from the pure elements is 0.229 eV per atom.

---

A plane-wave DFT calculation with PBE-GGA was carried out for an optimized crystal structure of La3Nd3Dy.

a = 9.8828 Å, b = 9.8828 Å, c = 5.9456 Å
α = 90.00°, β = 90.00°, γ = 120.00°
Sites, in units of the cell vectors:
La 0.0477 0.2424 0.2500
La 0.1948 0.9523 0.2500
La 0.2424 0.1948 0.7500
La 0.7576 0.8052 0.2500
La 0.8052 0.0477 0.7500
La 0.9523 0.7576 0.7500
Nd 0.0954 0.4803 0.7500
Nd 0.3849 0.9046 0.7500
Nd 0.4803 0.3849 0.2500
Nd 0.5197 0.6151 0.7500
Nd 0.6151 0.0954 0.2500
Nd 0.9046 0.5197 0.2500
Dy 0.3333 0.6667 0.2500
Dy 0.6667 0.3333 0.7500

Values from the calculation:
For the magnetic moment, the calculation gives 0.0 μB/cell. As for the space-group type: No. 176. The value obtained for the energy of formation from the pure elements is 0.032 eV per atom.

---

A plane-wave DFT calculation with PBE-GGA was carried out for an optimized crystal structure of LaNd12Dy7.

a = 10.0725 Å, b = 10.0725 Å, c = 10.0725 Å
α = 109.47°, β = 109.47°, γ = 109.47°
Sites, in units of the cell vectors:
La 0.0000 0.0000 0.0000
Nd 0.0037 0.7459 0.2578
Nd 0.2541 0.2578 0.5118
Nd 0.2541 0.7422 0.9963
Nd 0.2578 0.0037 0.7459
Nd 0.2578 0.5118 0.2541
Nd 0.4882 0.7459 0.7422
Nd 0.5118 0.2541 0.2578
Nd 0.7422 0.4882 0.7459
Nd 0.7422 0.9963 0.2541
Nd 0.7459 0.2578 0.0037
Nd 0.7459 0.7422 0.4882
Nd 0.9963 0.2541 0.7422
Dy 0.0000 0.0000 0.5000
Dy 0.0000 0.5000 0.0000
Dy 0.0000 0.5000 0.5000
Dy 0.5000 0.0000 0.0000
Dy 0.5000 0.0000 0.5000
Dy 0.5000 0.5000 0.0000
Dy 0.5000 0.5000 0.5000

Values from the calculation:
For the magnetic moment, the calculation gives 0.0 μB/cell. As for the space-group type: No. 204. The value obtained for the energy of formation from the pure elements is 0.654 eV per atom.

---

A plane-wave DFT calculation with PBE-GGA was carried out for an optimized crystal structure of La3NdDy7.

a = 8.5315 Å, b = 8.5315 Å, c = 8.5315 Å
α = 139.51°, β = 96.94°, γ = 96.82°
Sites, in units of the cell vectors:
La 0.0000 0.0000 0.0000
La 0.2137 0.7137 0.5000
La 0.7863 0.2863 0.5000
Nd 0.5000 0.5000 0.0000
Dy 0.0113 0.8035 0.2078
Dy 0.2062 0.5000 0.7062
Dy 0.4042 0.1965 0.2078
Dy 0.5000 0.0000 0.5000
Dy 0.5958 0.8035 0.7922
Dy 0.7938 0.5000 0.2938
Dy 0.9887 0.1965 0.7922

Values from the calculation:
For the magnetic moment, the calculation gives 0.0 μB/cell. As for the space-group type: No. 71. The value obtained for the energy of formation from the pure elements is 0.256 eV per atom.

---

A plane-wave DFT calculation with PBE-GGA was carried out for an optimized crystal structure of La3NdDy.

a = 5.7787 Å, b = 5.7787 Å, c = 12.1147 Å
α = 90.00°, β = 90.00°, γ = 116.72°
Sites, in units of the cell vectors:
La 0.0515 0.9485 0.7500
La 0.3536 0.6464 0.5995
La 0.3536 0.6464 0.9005
La 0.6464 0.3536 0.0995
La 0.6464 0.3536 0.4005
La 0.9485 0.0515 0.2500
Nd 0.0000 0.0000 0.0000
Nd 0.0000 0.0000 0.5000
Dy 0.2971 0.7029 0.2500
Dy 0.7029 0.2971 0.7500

Values from the calculation:
For the magnetic moment, the calculation gives 0.0 μB/cell. As for the space-group type: No. 63. The value obtained for the energy of formation from the pure elements is 0.190 eV per atom.

---

A plane-wave DFT calculation with PBE-GGA was carried out for an optimized crystal structure of LaNd2Dy.

a = 5.1604 Å, b = 5.1604 Å, c = 5.2090 Å
α = 90.00°, β = 90.00°, γ = 90.00°
Sites, in units of the cell vectors:
La 0.0000 0.0000 0.0000
Nd 0.0000 0.5000 0.5000
Nd 0.5000 0.0000 0.5000
Dy 0.5000 0.5000 0.0000

Values from the calculation:
For the magnetic moment, the calculation gives 0.0 μB/cell. As for the space-group type: No. 123. The value obtained for the energy of formation from the pure elements is 0.016 eV per atom.

---

A plane-wave DFT calculation with PBE-GGA was carried out for an optimized crystal structure of La2NdDy7.

a = 14.9360 Å, b = 14.9360 Å, c = 3.5158 Å
α = 90.00°, β = 90.00°, γ = 154.46°
Sites, in units of the cell vectors:
La 0.2055 0.7945 0.0000
La 0.7945 0.2055 0.0000
Nd 0.5000 0.5000 0.5000
Dy 0.0000 0.0000 0.0000
Dy 0.1556 0.3522 0.0000
Dy 0.3151 0.6849 0.5000
Dy 0.3522 0.1556 0.0000
Dy 0.6478 0.8444 0.0000
Dy 0.6849 0.3151 0.5000
Dy 0.8444 0.6478 0.0000

Values from the calculation:
For the magnetic moment, the calculation gives 0.0 μB/cell. As for the space-group type: No. 65. The value obtained for the energy of formation from the pure elements is 0.163 eV per atom.

---

A plane-wave DFT calculation with PBE-GGA was carried out for an optimized crystal structure of La2Nd3Dy4.

a = 3.6346 Å, b = 3.6346 Å, c = 27.0500 Å
α = 90.00°, β = 90.00°, γ = 120.00°
Sites, in units of the cell vectors:
La 0.0000 0.0000 0.0000
La 0.0000 0.0000 0.2289
Nd 0.0000 0.0000 0.7829
Nd 0.3333 0.6667 0.1176
Nd 0.3333 0.6667 0.4608
Dy 0.0000 0.0000 0.3556
Dy 0.0000 0.0000 0.5714
Dy 0.3333 0.6667 0.6742
Dy 0.3333 0.6667 0.8908

Values from the calculation:
For the magnetic moment, the calculation gives 0.0 μB/cell. As for the space-group type: No. 156. The value obtained for the energy of formation from the pure elements is 0.061 eV per atom.

---

A plane-wave DFT calculation with PBE-GGA was carried out for an optimized crystal structure of La4Nd5Dy3.

a = 8.8306 Å, b = 8.8306 Å, c = 9.5450 Å
α = 115.09°, β = 115.09°, γ = 40.24°
Sites, in units of the cell vectors:
La 0.0837 0.0837 0.4402
La 0.2177 0.2177 0.8770
La 0.7823 0.7823 0.1230
La 0.9163 0.9163 0.5598
Nd 0.0000 0.0000 0.0000
Nd 0.3291 0.3291 0.6107
Nd 0.4259 0.4259 0.2969
Nd 0.5741 0.5741 0.7031
Nd 0.6709 0.6709 0.3893
Dy 0.2091 0.2091 0.2269
Dy 0.5000 0.5000 0.0000
Dy 0.7909 0.7909 0.7731

Values from the calculation:
For the magnetic moment, the calculation gives 0.0 μB/cell. As for the space-group type: No. 12. The value obtained for the energy of formation from the pure elements is 0.197 eV per atom.

---

A plane-wave DFT calculation with PBE-GGA was carried out for an optimized crystal structure of La2Nd3Dy5.

a = 9.9828 Å, b = 9.9828 Å, c = 9.2387 Å
α = 108.18°, β = 108.18°, γ = 114.99°
Sites, in units of the cell vectors:
La 0.0208 0.2755 0.0437
La 0.2755 0.0208 0.5437
La 0.7245 0.9792 0.4563
La 0.9792 0.7245 0.9563
Nd 0.0230 0.9770 0.7500
Nd 0.2287 0.4817 0.4574
Nd 0.4817 0.2287 0.9574
Nd 0.5183 0.7713 0.0426
Nd 0.7713 0.5183 0.5426
Nd 0.9770 0.0230 0.2500
Dy 0.1196 0.3850 0.7480
Dy 0.2221 0.7779 0.7500
Dy 0.2781 0.7219 0.2500
Dy 0.3850 0.1196 0.2480
Dy 0.4752 0.5248 0.2500
Dy 0.5248 0.4752 0.7500
Dy 0.6150 0.8804 0.7520
Dy 0.7219 0.2781 0.7500
Dy 0.7779 0.2221 0.2500
Dy 0.8804 0.6150 0.2520

Values from the calculation:
For the magnetic moment, the calculation gives 0.0 μB/cell. As for the space-group type: No. 15. The value obtained for the energy of formation from the pure elements is 0.173 eV per atom.

---

A plane-wave DFT calculation with PBE-GGA was carried out for an optimized crystal structure of La5NdDy3.

a = 10.3211 Å, b = 10.3211 Å, c = 10.3211 Å
α = 129.52°, β = 129.52°, γ = 74.18°
Sites, in units of the cell vectors:
La 0.0000 0.0000 0.0000
La 0.0568 0.5568 0.8935
La 0.1633 0.0568 0.5000
La 0.3367 0.8367 0.8935
La 0.4432 0.3367 0.5000
La 0.5000 0.5000 0.0000
La 0.5568 0.6633 0.5000
La 0.6633 0.1633 0.1065
La 0.8367 0.9432 0.5000
La 0.9432 0.4432 0.1065
Nd 0.2500 0.7500 0.5000
Nd 0.7500 0.2500 0.5000
Dy 0.1208 0.3792 0.5000
Dy 0.2500 0.2500 0.0000
Dy 0.3792 0.8792 0.2583
Dy 0.6208 0.1208 0.7417
Dy 0.7500 0.7500 0.0000
Dy 0.8792 0.6208 0.5000

Values from the calculation:
For the magnetic moment, the calculation gives 0.0 μB/cell. As for the space-group type: No. 140. The value obtained for the energy of formation from the pure elements is 0.267 eV per atom.

---

A plane-wave DFT calculation with PBE-GGA was carried out for an optimized crystal structure of La12NdDy3.

a = 5.2188 Å, b = 5.2188 Å, c = 20.8628 Å
α = 90.00°, β = 90.00°, γ = 90.00°
Sites, in units of the cell vectors:
La 0.0000 0.0000 0.0000
La 0.0000 0.0000 0.2490
La 0.0000 0.0000 0.5000
La 0.0000 0.0000 0.7510
La 0.0000 0.5000 0.1244
La 0.0000 0.5000 0.3736
La 0.0000 0.5000 0.6264
La 0.0000 0.5000 0.8756
La 0.5000 0.0000 0.1244
La 0.5000 0.0000 0.3736
La 0.5000 0.0000 0.6264
La 0.5000 0.0000 0.8756
Nd 0.5000 0.5000 0.5000
Dy 0.5000 0.5000 0.0000
Dy 0.5000 0.5000 0.2489
Dy 0.5000 0.5000 0.7511

Values from the calculation:
For the magnetic moment, the calculation gives 0.0 μB/cell. As for the space-group type: No. 123. The value obtained for the energy of formation from the pure elements is 0.008 eV per atom.

---

A plane-wave DFT calculation with PBE-GGA was carried out for an optimized crystal structure of La6NdDy.

a = 5.2231 Å, b = 5.2231 Å, c = 10.4597 Å
α = 90.00°, β = 90.00°, γ = 90.00°
Sites, in units of the cell vectors:
La 0.0000 0.0000 0.0000
La 0.0000 0.0000 0.5000
La 0.0000 0.5000 0.2485
La 0.0000 0.5000 0.7515
La 0.5000 0.0000 0.2485
La 0.5000 0.0000 0.7515
Nd 0.5000 0.5000 0.5000
Dy 0.5000 0.5000 0.0000

Values from the calculation:
For the magnetic moment, the calculation gives 0.0 μB/cell. As for the space-group type: No. 123. The value obtained for the energy of formation from the pure elements is 0.007 eV per atom.

---

A plane-wave DFT calculation with PBE-GGA was carried out for an optimized crystal structure of La12Nd6Dy.

a = 9.5284 Å, b = 9.5284 Å, c = 9.5284 Å
α = 108.45°, β = 108.45°, γ = 108.45°
Sites, in units of the cell vectors:
La 0.0000 0.2833 0.7167
La 0.0000 0.7167 0.2833
La 0.1104 0.1104 0.3500
La 0.1104 0.3500 0.1104
La 0.2833 0.0000 0.7167
La 0.2833 0.7167 0.0000
La 0.3500 0.1104 0.1104
La 0.6500 0.8896 0.8896
La 0.7167 0.0000 0.2833
La 0.7167 0.2833 0.0000
La 0.8896 0.6500 0.8896
La 0.8896 0.8896 0.6500
Nd 0.1956 0.5684 0.5685
Nd 0.4316 0.4316 0.8044
Nd 0.4316 0.8044 0.4316
Nd 0.5684 0.1956 0.5684
Nd 0.5684 0.5684 0.1956
Nd 0.8044 0.4316 0.4316
Dy 0.5000 0.5000 0.5000

Values from the calculation:
For the magnetic moment, the calculation gives 0.0 μB/cell. As for the space-group type: No. 166. The value obtained for the energy of formation from the pure elements is 0.160 eV per atom.

---

A plane-wave DFT calculation with PBE-GGA was carried out for an optimized crystal structure of LaNd4Dy2.

a = 6.6573 Å, b = 8.6209 Å, c = 9.0328 Å
α = 88.20°, β = 82.64°, γ = 71.07°
Sites, in units of the cell vectors:
La 0.0000 0.0000 0.0000
La 0.4052 0.2057 0.8843
Nd 0.0201 0.5614 0.0509
Nd 0.1365 0.2161 0.2906
Nd 0.1784 0.7599 0.3400
Nd 0.4098 0.6367 0.8122
Nd 0.5850 0.4056 0.1467
Nd 0.7023 0.0544 0.3871
Nd 0.8630 0.7982 0.7140
Nd 0.8742 0.3314 0.7121
Dy 0.2996 0.9813 0.6124
Dy 0.3355 0.4099 0.5368
Dy 0.5441 0.8524 0.0948
Dy 0.7161 0.6260 0.4236

Values from the calculation:
For the magnetic moment, the calculation gives 0.0 μB/cell. As for the space-group type: No. 1. The value obtained for the energy of formation from the pure elements is 0.070 eV per atom.

---

A plane-wave DFT calculation with PBE-GGA was carried out for an optimized crystal structure of LaNd8Dy2.

a = 10.4403 Å, b = 10.4403 Å, c = 5.7101 Å
α = 93.17°, β = 93.17°, γ = 39.96°
Sites, in units of the cell vectors:
La 0.0000 0.0000 0.0000
Nd 0.1354 0.5973 0.2682
Nd 0.1883 0.1883 0.2320
Nd 0.4027 0.8646 0.7318
Nd 0.4554 0.4554 0.7605
Nd 0.5446 0.5446 0.2395
Nd 0.5973 0.1354 0.2682
Nd 0.8117 0.8117 0.7680
Nd 0.8646 0.4027 0.7318
Dy 0.2845 0.2845 0.7458
Dy 0.7155 0.7155 0.2542

Values from the calculation:
For the magnetic moment, the calculation gives 0.0 μB/cell. As for the space-group type: No. 12. The value obtained for the energy of formation from the pure elements is 0.133 eV per atom.

---

A plane-wave DFT calculation with PBE-GGA was carried out for an optimized crystal structure of La3Nd3Dy.

a = 8.9808 Å, b = 8.9808 Å, c = 8.9808 Å
α = 59.60°, β = 59.60°, γ = 59.60°
Sites, in units of the cell vectors:
La 0.0599 0.3009 0.8098
La 0.1902 0.9401 0.6991
La 0.3009 0.8098 0.0599
La 0.6991 0.1902 0.9401
La 0.8098 0.0599 0.3009
La 0.9401 0.6991 0.1902
Nd 0.0661 0.7235 0.5672
Nd 0.2765 0.4328 0.9339
Nd 0.4328 0.9339 0.2765
Nd 0.5672 0.0661 0.7235
Nd 0.7235 0.5672 0.0661
Nd 0.9339 0.2765 0.4328
Dy 0.3494 0.3494 0.3494
Dy 0.6506 0.6506 0.6506

Values from the calculation:
For the magnetic moment, the calculation gives 0.0 μB/cell. As for the space-group type: No. 148. The value obtained for the energy of formation from the pure elements is 0.216 eV per atom.

---

A plane-wave DFT calculation with PBE-GGA was carried out for an optimized crystal structure of La4Nd7Dy.

a = 6.8700 Å, b = 6.8700 Å, c = 13.1308 Å
α = 114.18°, β = 114.18°, γ = 53.31°
Sites, in units of the cell vectors:
La 0.0560 0.0560 0.3324
La 0.3631 0.3631 0.2218
La 0.6369 0.6369 0.7782
La 0.9440 0.9440 0.6676
Nd 0.0000 0.0000 0.0000
Nd 0.2103 0.2103 0.9231
Nd 0.2574 0.2574 0.6890
Nd 0.3646 0.3646 0.4971
Nd 0.6354 0.6354 0.5029
Nd 0.7426 0.7426 0.3110
Nd 0.7897 0.7897 0.0769
Dy 0.5000 0.5000 0.0000

Values from the calculation:
For the magnetic moment, the calculation gives 0.0 μB/cell. As for the space-group type: No. 12. The value obtained for the energy of formation from the pure elements is 0.225 eV per atom.